This record from Alexandria describes a relaxed structure of TmGeO4. The functional is PBE.

POSCAR file:
```
TmGeO4
1.0
4.703 -0.107 0.000
-0.481 4.680 0.000
0.000 0.000 7.069
O Ge Tm
8 2 2
Cartesian
2.955 3.201 3.940
0.784 3.986 5.302
3.911 1.099 5.302
3.438 0.587 1.767
1.267 1.372 0.406
2.955 3.201 6.664
1.267 1.372 3.129
0.311 3.474 1.767
3.723 4.032 5.302
0.499 0.540 1.767
1.646 1.782 5.302
2.577 2.791 1.767
```

Computed properties:
The calculation puts the uncorrected formation energy at -12.984 eV per formula unit. Its density is 6.538 g cm⁻³.